1:
First-principles (PBE) data for a relaxed ZnTeI2 crystal, as listed in Alexandria via LeMat-Bulk.

```
data_ZnTeI2
_symmetry_space_group_name_H-M 'P 1'
_symmetry_Int_Tables_number 1
_symmetry_space_group_name_Hall 'P 1'
_cell_length_a 8.3925
_cell_length_b 8.3925
_cell_length_c 7.0131
_cell_angle_alpha 53.25
_cell_angle_beta 53.25
_cell_angle_gamma 90.00
loop_
_atom_site_label
_atom_site_fract_x
_atom_site_fract_y
_atom_site_fract_z
I1 0.5526 0.1250 0.2500
I2 0.1974 0.6250 0.2500
I3 0.3750 0.4474 0.7500
I4 0.8750 0.8026 0.7500
Zn1 0.5000 0.5000 0.0000
Zn2 0.2500 0.7500 0.5000
Te1 0.0000 0.0000 0.0000
Te2 0.7500 0.2500 0.5000
```

Results
- DOS(E_F) (states/eV/f.u.) = 4.07
- SG = I-42d
- total magnetic moment (μB per atom) = 0.00



2:
First-principles (PBE) data for a relaxed ZnTeI2 crystal, as listed in Alexandria via LeMat-Bulk.

```
data_ZnTeI2
_symmetry_space_group_name_H-M 'P 1'
_symmetry_Int_Tables_number 1
_symmetry_space_group_name_Hall 'P 1'
_cell_length_a 5.5427
_cell_length_b 5.5427
_cell_length_c 5.5427
_cell_angle_alpha 60.00
_cell_angle_beta 60.00
_cell_angle_gamma 60.00
loop_
_atom_site_label
_atom_site_fract_x
_atom_site_fract_y
_atom_site_fract_z
I1 0.2500 0.2500 0.2500
I2 0.7500 0.7500 0.7500
Zn1 0.0000 0.0000 0.0000
Te1 0.5000 0.5000 0.5000
```

Results
- DOS(E_F) (states/eV/f.u.) = 5.13
- SG = Fm-3m
- total magnetic moment (μB per atom) = 0.00



Which of them is least stable? Easy: 2.



1:
First-principles (PBE) data for a relaxed ZnTeI3 crystal, as listed in Alexandria via LeMat-Bulk.

```
data_ZnTeI3
_symmetry_space_group_name_H-M 'P 1'
_symmetry_Int_Tables_number 1
_symmetry_space_group_name_Hall 'P 1'
_cell_length_a 6.0483
_cell_length_b 6.0483
_cell_length_c 6.0483
_cell_angle_alpha 90.00
_cell_angle_beta 90.00
_cell_angle_gamma 90.00
loop_
_atom_site_label
_atom_site_fract_x
_atom_site_fract_y
_atom_site_fract_z
I1 0.0000 0.5000 0.0000
I2 0.0000 0.0000 0.5000
I3 0.5000 0.0000 0.0000
Zn1 0.5000 0.5000 0.5000
Te1 0.0000 0.0000 0.0000
```

Results
- DOS(E_F) (states/eV/f.u.) = 2.40
- SG = Pm-3m
- total magnetic moment (μB per atom) = 0.00



2:
First-principles (PBE) data for a relaxed ZnTeI3 crystal, as listed in Alexandria via LeMat-Bulk.

```
data_ZnTeI3
_symmetry_space_group_name_H-M 'P 1'
_symmetry_Int_Tables_number 1
_symmetry_space_group_name_Hall 'P 1'
_cell_length_a 5.5614
_cell_length_b 5.5614
_cell_length_c 5.5614
_cell_angle_alpha 90.00
_cell_angle_beta 90.00
_cell_angle_gamma 90.00
loop_
_atom_site_label
_atom_site_fract_x
_atom_site_fract_y
_atom_site_fract_z
I1 0.0000 0.5000 0.0000
I2 0.0000 0.0000 0.5000
I3 0.5000 0.0000 0.0000
Zn1 0.0000 0.0000 0.0000
Te1 0.5000 0.5000 0.5000
```

Results
- DOS(E_F) (states/eV/f.u.) = 4.77
- SG = Pm-3m
- total magnetic moment (μB per atom) = 0.23



Which of them is least stable? Easy: 2.



1:
First-principles (PBE) data for a relaxed ZnTe2I2 crystal, as listed in Alexandria via LeMat-Bulk.

```
data_ZnTe2I2
_symmetry_space_group_name_H-M 'P 1'
_symmetry_Int_Tables_number 1
_symmetry_space_group_name_Hall 'P 1'
_cell_length_a 6.6550
_cell_length_b 6.6550
_cell_length_c 6.7075
_cell_angle_alpha 60.26
_cell_angle_beta 60.26
_cell_angle_gamma 90.00
loop_
_atom_site_label
_atom_site_fract_x
_atom_site_fract_y
_atom_site_fract_z
I1 0.7500 0.2500 0.5000
I2 0.2500 0.7500 0.5000
Zn1 0.0000 0.0000 0.0000
Te1 0.2610 0.2610 0.4780
Te2 0.7390 0.7390 0.5220
```

Results
- DOS(E_F) (states/eV/f.u.) = 2.15
- SG = I4/mmm
- total magnetic moment (μB per atom) = 0.00



2:
First-principles (PBE) data for a relaxed ZnTe2I2 crystal, as listed in Alexandria via LeMat-Bulk.

```
data_ZnTe2I2
_symmetry_space_group_name_H-M 'P 1'
_symmetry_Int_Tables_number 1
_symmetry_space_group_name_Hall 'P 1'
_cell_length_a 7.6020
_cell_length_b 7.6020
_cell_length_c 5.3827
_cell_angle_alpha 90.00
_cell_angle_beta 90.00
_cell_angle_gamma 90.00
loop_
_atom_site_label
_atom_site_fract_x
_atom_site_fract_y
_atom_site_fract_z
I1 0.1758 0.6758 0.5000
I2 0.6758 0.8242 0.5000
I3 0.8242 0.3242 0.5000
I4 0.3242 0.1758 0.5000
Zn1 0.0000 0.0000 0.0000
Zn2 0.5000 0.5000 0.0000
Te1 0.3512 0.8512 0.0000
Te2 0.8512 0.6488 0.0000
Te3 0.6488 0.1488 0.0000
Te4 0.1488 0.3512 0.0000
```

Results
- DOS(E_F) (states/eV/f.u.) = 3.79
- SG = P4/mbm
- total magnetic moment (μB per atom) = 0.00



Which of them is least stable? Easy: 2.



1:
First-principles (PBE) data for a relaxed ZrTeI2 crystal, as listed in Alexandria via LeMat-Bulk.

```
data_ZrTeI2
_symmetry_space_group_name_H-M 'P 1'
_symmetry_Int_Tables_number 1
_symmetry_space_group_name_Hall 'P 1'
_cell_length_a 10.6587
_cell_length_b 10.6587
_cell_length_c 8.0338
_cell_angle_alpha 48.44
_cell_angle_beta 48.44
_cell_angle_gamma 90.00
loop_
_atom_site_label
_atom_site_fract_x
_atom_site_fract_y
_atom_site_fract_z
I1 0.4854 0.1250 0.2500
I2 0.2646 0.6250 0.2500
I3 0.3750 0.5146 0.7500
I4 0.8750 0.7354 0.7500
Te1 0.0000 0.0000 0.0000
Te2 0.7500 0.2500 0.5000
Zr1 0.5000 0.5000 0.0000
Zr2 0.2500 0.7500 0.5000
```

Results
- DOS(E_F) (states/eV/f.u.) = 0.01
- SG = I-42d
- total magnetic moment (μB per atom) = 0.00



2:
First-principles (PBE) data for a relaxed ZrTeI2 crystal, as listed in Alexandria via LeMat-Bulk.

```
data_ZrTeI2
_symmetry_space_group_name_H-M 'P 1'
_symmetry_Int_Tables_number 1
_symmetry_space_group_name_Hall 'P 1'
_cell_length_a 5.3802
_cell_length_b 5.3802
_cell_length_c 5.3802
_cell_angle_alpha 60.00
_cell_angle_beta 60.00
_cell_angle_gamma 60.00
loop_
_atom_site_label
_atom_site_fract_x
_atom_site_fract_y
_atom_site_fract_z
I1 0.2500 0.2500 0.2500
I2 0.7500 0.7500 0.7500
Te1 0.5000 0.5000 0.5000
Zr1 0.0000 0.0000 0.0000
```

Results
- DOS(E_F) (states/eV/f.u.) = 3.54
- SG = Fm-3m
- total magnetic moment (μB per atom) = 0.00



Which of them is least stable? Easy: 2.



1:
First-principles (PBE) data for a relaxed TiTlI2 crystal, as listed in Alexandria via LeMat-Bulk.

```
data_TiTlI2
_symmetry_space_group_name_H-M 'P 1'
_symmetry_Int_Tables_number 1
_symmetry_space_group_name_Hall 'P 1'
_cell_length_a 9.9724
_cell_length_b 9.9724
_cell_length_c 7.6680
_cell_angle_alpha 49.44
_cell_angle_beta 49.44
_cell_angle_gamma 90.00
loop_
_atom_site_label
_atom_site_fract_x
_atom_site_fract_y
_atom_site_fract_z
I1 0.4821 0.1250 0.2500
I2 0.2679 0.6250 0.2500
I3 0.3750 0.5179 0.7500
I4 0.8750 0.7321 0.7500
Tl1 0.0000 0.0000 0.0000
Tl2 0.7500 0.2500 0.5000
Ti1 0.5000 0.5000 0.0000
Ti2 0.2500 0.7500 0.5000
```

Results
- DOS(E_F) (states/eV/f.u.) = 3.17
- SG = I-42d
- total magnetic moment (μB per atom) = 0.42



2:
First-principles (PBE) data for a relaxed TiTlI2 crystal, as listed in Alexandria via LeMat-Bulk.

```
data_TiTlI2
_symmetry_space_group_name_H-M 'P 1'
_symmetry_Int_Tables_number 1
_symmetry_space_group_name_Hall 'P 1'
_cell_length_a 3.7666
_cell_length_b 3.7666
_cell_length_c 11.0404
_cell_angle_alpha 80.18
_cell_angle_beta 80.18
_cell_angle_gamma 60.00
loop_
_atom_site_label
_atom_site_fract_x
_atom_site_fract_y
_atom_site_fract_z
I1 0.1109 0.1109 0.6674
I2 0.8891 0.8891 0.3326
Tl1 0.0000 0.0000 0.0000
Ti1 0.5000 0.5000 0.5000
```

Results
- DOS(E_F) (states/eV/f.u.) = 3.50
- SG = R-3m
- total magnetic moment (μB per atom) = 0.22



3:
First-principles (PBE) data for a relaxed TiTlI2 crystal, as listed in Alexandria via LeMat-Bulk.

```
data_TiTlI2
_symmetry_space_group_name_H-M 'P 1'
_symmetry_Int_Tables_number 1
_symmetry_space_group_name_Hall 'P 1'
_cell_length_a 5.5666
_cell_length_b 5.5666
_cell_length_c 5.5666
_cell_angle_alpha 60.00
_cell_angle_beta 60.00
_cell_angle_gamma 60.00
loop_
_atom_site_label
_atom_site_fract_x
_atom_site_fract_y
_atom_site_fract_z
I1 0.2500 0.2500 0.2500
I2 0.7500 0.7500 0.7500
Tl1 0.5000 0.5000 0.5000
Ti1 0.0000 0.0000 0.0000
```

Results
- DOS(E_F) (states/eV/f.u.) = 6.63
- SG = Fm-3m
- total magnetic moment (μB per atom) = 0.72



Which of them is least stable? Easy: 3.



1:
First-principles (PBE) data for a relaxed TiTl2I crystal, as listed in Alexandria via LeMat-Bulk.

```
data_TiTl2I
_symmetry_space_group_name_H-M 'P 1'
_symmetry_Int_Tables_number 1
_symmetry_space_group_name_Hall 'P 1'
_cell_length_a 5.6310
_cell_length_b 5.6310
_cell_length_c 5.6310
_cell_angle_alpha 60.00
_cell_angle_beta 60.00
_cell_angle_gamma 60.00
loop_
_atom_site_label
_atom_site_fract_x
_atom_site_fract_y
_atom_site_fract_z
I1 0.5000 0.5000 0.5000
Tl1 0.2500 0.2500 0.2500
Tl2 0.7500 0.7500 0.7500
Ti1 0.0000 0.0000 0.0000
```

Results
- DOS(E_F) (states/eV/f.u.) = 4.65
- SG = Fm-3m
- total magnetic moment (μB per atom) = 0.66



2:
First-principles (PBE) data for a relaxed TiTl2I crystal, as listed in Alexandria via LeMat-Bulk.

```
data_TiTl2I
_symmetry_space_group_name_H-M 'P 1'
_symmetry_Int_Tables_number 1
_symmetry_space_group_name_Hall 'P 1'
_cell_length_a 4.4287
_cell_length_b 4.4287
_cell_length_c 12.5669
_cell_angle_alpha 79.85
_cell_angle_beta 79.85
_cell_angle_gamma 90.00
loop_
_atom_site_label
_atom_site_fract_x
_atom_site_fract_y
_atom_site_fract_z
I1 0.0000 0.0000 0.0000
I2 0.7500 0.2500 0.5000
Tl1 0.6171 0.1250 0.2500
Tl2 0.1329 0.6250 0.2500
Tl3 0.3750 0.3829 0.7500
Tl4 0.8750 0.8671 0.7500
Ti1 0.5000 0.5000 0.0000
Ti2 0.2500 0.7500 0.5000
```

Results
- DOS(E_F) (states/eV/f.u.) = 4.15
- SG = I-42d
- total magnetic moment (μB per atom) = 0.60



Which of them is least stable? Easy: 1.